An optimized crystal structure of SrCa2VO. Source: Alexandria, functional GGA+U.

Structure (POSCAR):
```
SrCa2VO
1.0
5.7157 0.0000 0.0000
0.0000 5.7157 0.0000
0.0000 0.0000 4.0551
Sr Ca V O
1 2 1 1
direct
0.0000 0.0000 0.0000 Sr
0.0000 0.5000 0.5000 Ca
0.5000 0.0000 0.5000 Ca
0.5000 0.5000 0.0000 V
0.5000 0.5000 0.5000 O
```

Properties
Its uncorrected energy is -3.997 eV/atom. Its density of states at the Fermi level is 0.810 states/eV/atom. The space group is P4/mmm. Its crystal system is tetragonal. For the density, the calculation gives 2.942 g/cm³. The total magnetization is 2.92 μB per cell.